# 1
Compound: La3Tb2Pr6Er
Source: Alexandria via LeMat-Bulk
Functional: PBE-GGA
Structure: relaxed

Results
Formation energy ... 1.7 kJ/mol of atoms
VASP energy ... -4.76 eV/atom

Cell and atoms, written as CIF:
```
data_La3Tb2Pr6Er
_chemical_formula_sum 'La6 Tb4 Pr12 Er2'
_cell_length_a 6.384
_cell_length_b 11.068
_cell_length_c 12.165
_cell_angle_alpha 90.00
_cell_angle_beta 100.11
_cell_angle_gamma 90.00
_symmetry_space_group_name_H-M 'C 1 2/m 1'
_symmetry_Int_Tables_number 12
loop_
_symmetry_equiv_pos_as_xyz
'x,y,z'
'-x,-y,-z'
'-x,y,-z'
'x,-y,z'
'x+1/2,y+1/2,z'
'-x+1/2,-y+1/2,-z'
'-x+1/2,y+1/2,-z'
'x+1/2,-y+1/2,z'
loop_
_atom_site_label
_atom_site_type_symbol
_atom_site_fract_x
_atom_site_fract_y
_atom_site_fract_z
La1 La 0.000 0.000 0.000
La2 La 0.000 0.333 0.000
Tb1 Tb 0.000 0.167 0.500
Pr1 Pr 0.248 0.000 0.744
Pr2 Pr 0.248 0.334 0.744
Er1 Er 0.000 0.500 0.500
```

=====

# 2
Compound: LaTb2Pr2Er2
Source: Alexandria via LeMat-Bulk
Functional: PBE-GGA
Structure: relaxed

Results
Formation energy ... 16.7 kJ/mol of atoms
VASP energy ... -4.52 eV/atom

Cell and atoms, written as CIF:
```
data_LaTb2Pr2Er2
_chemical_formula_sum 'La2 Tb4 Pr4 Er4'
_cell_length_a 11.749
_cell_length_b 3.499
_cell_length_c 11.979
_cell_angle_alpha 90.00
_cell_angle_beta 102.17
_cell_angle_gamma 90.00
_symmetry_space_group_name_H-M 'C 1 2/m 1'
_symmetry_Int_Tables_number 12
loop_
_symmetry_equiv_pos_as_xyz
'x,y,z'
'-x,-y,-z'
'-x,y,-z'
'x,-y,z'
'x+1/2,y+1/2,z'
'-x+1/2,-y+1/2,-z'
'-x+1/2,y+1/2,-z'
'x+1/2,-y+1/2,z'
loop_
_atom_site_label
_atom_site_type_symbol
_atom_site_fract_x
_atom_site_fract_y
_atom_site_fract_z
La1 La 0.000 0.000 0.000
Tb1 Tb 0.091 0.500 0.282
Pr1 Pr 0.203 0.500 0.864
Er1 Er 0.158 0.500 0.571
```

=====

# 3
Compound: LaTb3PrEr
Source: Alexandria via LeMat-Bulk
Functional: PBE-GGA
Structure: relaxed

Results
Formation energy ... 10.5 kJ/mol of atoms
VASP energy ... -4.58 eV/atom

Cell and atoms, written as CIF:
```
data_LaTb3PrEr
_chemical_formula_sum 'La4 Tb12 Pr4 Er4'
_cell_length_a 5.958
_cell_length_b 11.342
_cell_length_c 11.902
_cell_angle_alpha 90.00
_cell_angle_beta 90.00
_cell_angle_gamma 90.00
_symmetry_space_group_name_H-M 'C m c m'
_symmetry_Int_Tables_number 63
_symmetry_space_group_name_Hall '-C 2c 2'
loop_
_atom_site_label
_atom_site_type_symbol
_atom_site_fract_x
_atom_site_fract_y
_atom_site_fract_z
La1 La 0.000 0.005 0.250
Tb1 Tb 0.000 0.175 0.503
Tb2 Tb 0.000 0.326 0.250
Pr1 Pr 0.000 0.500 0.000
Er1 Er 0.000 0.330 0.750
```

=====

# 4
Compound: LaTb3Pr6Er2
Source: Alexandria via LeMat-Bulk
Functional: PBE-GGA
Structure: relaxed

Results
Formation energy ... 1.6 kJ/mol of atoms
VASP energy ... -4.70 eV/atom

Cell and atoms, written as CIF:
```
data_LaTb3Pr6Er2
_chemical_formula_sum 'La2 Tb6 Pr12 Er4'
_cell_length_a 6.331
_cell_length_b 10.968
_cell_length_c 12.005
_cell_angle_alpha 90.00
_cell_angle_beta 100.12
_cell_angle_gamma 90.00
_symmetry_space_group_name_H-M 'C 1 2/m 1'
_symmetry_Int_Tables_number 12
loop_
_symmetry_equiv_pos_as_xyz
'x,y,z'
'-x,-y,-z'
'-x,y,-z'
'x,-y,z'
'x+1/2,y+1/2,z'
'-x+1/2,-y+1/2,-z'
'-x+1/2,y+1/2,-z'
'x+1/2,-y+1/2,z'
loop_
_atom_site_label
_atom_site_type_symbol
_atom_site_fract_x
_atom_site_fract_y
_atom_site_fract_z
La1 La 0.000 0.000 0.000
Tb1 Tb 0.000 0.167 0.500
Tb2 Tb 0.000 0.500 0.500
Pr1 Pr 0.249 0.333 0.749
Pr2 Pr 0.250 0.000 0.749
Er1 Er 0.000 0.333 0.000
```

=====

# 5
Compound: La3TbPrEr
Source: Alexandria via LeMat-Bulk
Functional: PBE-GGA
Structure: relaxed

Results
Formation energy ... 2.8 kJ/mol of atoms
VASP energy ... -4.76 eV/atom

Cell and atoms, written as CIF:
```
data_La3TbPrEr
_chemical_formula_sum 'La6 Tb2 Pr2 Er2'
_cell_length_a 8.132
_cell_length_b 5.231
_cell_length_c 10.439
_cell_angle_alpha 90.00
_cell_angle_beta 108.72
_cell_angle_gamma 90.00
_symmetry_space_group_name_H-M 'P 1 21/m 1'
_symmetry_Int_Tables_number 11
loop_
_symmetry_equiv_pos_as_xyz
'x,y,z'
'-x,-y,-z'
'-x,y+1/2,-z'
'x,-y+1/2,z'
loop_
_atom_site_label
_atom_site_type_symbol
_atom_site_fract_x
_atom_site_fract_y
_atom_site_fract_z
La1 La 0.171 0.250 0.041
La2 La 0.171 0.250 0.544
La3 La 0.173 0.750 0.292
Tb1 Tb 0.498 0.750 0.626
Pr1 Pr 0.171 0.750 0.793
Er1 Er 0.500 0.250 0.877
```

=====

# 6
Compound: LaTb2Pr3Er6
Source: Alexandria via LeMat-Bulk
Functional: PBE-GGA
Structure: relaxed

Results
Formation energy ... 1.8 kJ/mol of atoms
VASP energy ... -4.64 eV/atom

Cell and atoms, written as CIF:
```
data_LaTb2Pr3Er6
_chemical_formula_sum 'La2 Tb4 Pr6 Er12'
_cell_length_a 6.232
_cell_length_b 10.791
_cell_length_c 11.801
_cell_angle_alpha 90.00
_cell_angle_beta 100.11
_cell_angle_gamma 90.00
_symmetry_space_group_name_H-M 'C 1 2/m 1'
_symmetry_Int_Tables_number 12
loop_
_symmetry_equiv_pos_as_xyz
'x,y,z'
'-x,-y,-z'
'-x,y,-z'
'x,-y,z'
'x+1/2,y+1/2,z'
'-x+1/2,-y+1/2,-z'
'-x+1/2,y+1/2,-z'
'x+1/2,-y+1/2,z'
loop_
_atom_site_label
_atom_site_type_symbol
_atom_site_fract_x
_atom_site_fract_y
_atom_site_fract_z
La1 La 0.000 0.000 0.000
Tb1 Tb 0.000 0.333 0.000
Pr1 Pr 0.000 0.167 0.500
Pr2 Pr 0.000 0.500 0.500
Er1 Er 0.248 0.500 0.248
Er2 Er 0.250 0.167 0.248
```

=====

# 7
Compound: LaTb5Pr2Er
Source: Alexandria via LeMat-Bulk
Functional: PBE-GGA
Structure: relaxed

Results
Formation energy ... 25.2 kJ/mol of atoms
VASP energy ... -4.43 eV/atom

Cell and atoms, written as CIF:
```
data_LaTb5Pr2Er
_chemical_formula_sum 'La4 Tb20 Pr8 Er4'
_cell_length_a 8.784
_cell_length_b 8.784
_cell_length_c 15.760
_cell_angle_alpha 90.00
_cell_angle_beta 90.00
_cell_angle_gamma 90.00
_symmetry_space_group_name_H-M 'I 4/m c m'
_symmetry_Int_Tables_number 140
_symmetry_space_group_name_Hall '-I 4 2c'
loop_
_atom_site_label
_atom_site_type_symbol
_atom_site_fract_x
_atom_site_fract_y
_atom_site_fract_z
La1 La 0.000 0.000 0.250
Tb1 Tb 0.000 0.000 0.000
Tb2 Tb 0.210 0.290 0.138
Pr1 Pr 0.118 0.382 0.500
Er1 Er 0.000 0.500 0.250
```

=====

# 8
Compound: La2Tb2PrEr2
Source: Alexandria via LeMat-Bulk
Functional: PBE-GGA
Structure: relaxed

Results
Formation energy ... 2.9 kJ/mol of atoms
VASP energy ... -4.69 eV/atom

Cell and atoms, written as CIF:
```
data_La2Tb2PrEr2
_chemical_formula_sum 'La4 Tb4 Pr2 Er4'
_cell_length_a 11.447
_cell_length_b 5.118
_cell_length_c 8.126
_cell_angle_alpha 90.00
_cell_angle_beta 98.12
_cell_angle_gamma 90.00
_symmetry_space_group_name_H-M 'C 1 2/m 1'
_symmetry_Int_Tables_number 12
loop_
_symmetry_equiv_pos_as_xyz
'x,y,z'
'-x,-y,-z'
'-x,y,-z'
'x,-y,z'
'x+1/2,y+1/2,z'
'-x+1/2,-y+1/2,-z'
'-x+1/2,y+1/2,-z'
'x+1/2,-y+1/2,z'
loop_
_atom_site_label
_atom_site_type_symbol
_atom_site_fract_x
_atom_site_fract_y
_atom_site_fract_z
La1 La 0.143 0.000 0.429
Tb1 Tb 0.071 0.500 0.719
Pr1 Pr 0.000 0.000 0.000
Er1 Er 0.216 0.500 0.139
```